(1)
DFT (PBE-GGA) results for a relaxed BPRhCS crystal.

abc: 2.9441 4.4229 5.3234
angles: 92.80 101.75 107.78
Closest atoms and distances in Å follow each position.
Element x y z (fractional)
B (0.0000, 0.0000, 0.0000)  1 C 1.59
P (0.7039, 0.5409, 0.7977)  2 C 1.82-1.83
Rh (0.4931, 0.4782, 0.3506)  2 S 2.27-2.35, 1 C 2.28, 1 P 2.31
C (0.1621, 0.3508, 0.9181)  1 B 1.59
S (0.5735, 0.9783, 0.2395)  2 B 1.93-1.95

Calculated values
- raw formation energy (eV per atom) = 0.01
- E above lowest polymorph (meV per atom) = 162
- DFT total energy (eV per atom) = -6.55
- M_tot (μB/atom) = 0.000

=====

(2)
DFT (PBE-GGA) results for a relaxed FeSnRh2 crystal.

abc: 4.1529 4.1529 7.0720
angles: 90.00 90.00 90.00
Closest atoms and distances in Å follow each position.
Element x y z (fractional)
Fe (0.0000, 0.0000, 0.0000)  8 Rh 2.73, 4 Sn 2.94
Fe (0.5000, 0.5000, 0.5000)  8 Rh 2.73, 4 Sn 2.94
Sn (0.0000, 0.0000, 0.5000)  8 Rh 2.73, 4 Fe 2.94
Sn (0.5000, 0.5000, 0.0000)  8 Rh 2.73, 4 Fe 2.94
Rh (0.0000, 0.5000, 0.2500)  4 Sn 2.73, 4 Fe 2.73, 4 Rh 2.94
Rh (0.0000, 0.5000, 0.7500)  4 Fe 2.73, 4 Sn 2.73, 4 Rh 2.94
Rh (0.5000, 0.0000, 0.2500)  4 Sn 2.73, 4 Fe 2.73, 4 Rh 2.94
Rh (0.5000, 0.0000, 0.7500)  4 Fe 2.73, 4 Sn 2.73, 4 Rh 2.94

Calculated values
- energy of formation from the pure elements (eV per atom) = -0.303
- DFT total energy (eV per atom) = -7.10
- M_tot (μB/atom) = 0.968

=====

(3)
DFT (PBE-GGA) results for a relaxed SiHgSb2 crystal.

abc: 7.2699 7.2699 7.2699
angles: 90.00 90.00 90.00
Closest atoms and distances in Å follow each position.
Element x y z (fractional)
Si (0.0000, 0.0000, 0.0000)  8 Sb 3.15
Si (0.0000, 0.5000, 0.5000)  8 Sb 3.15
Si (0.5000, 0.0000, 0.5000)  8 Sb 3.15
Si (0.5000, 0.5000, 0.0000)  8 Sb 3.15
Hg (0.0000, 0.0000, 0.5000)  8 Sb 3.15
Hg (0.0000, 0.5000, 0.0000)  8 Sb 3.15
Hg (0.5000, 0.0000, 0.0000)  8 Sb 3.15
Hg (0.5000, 0.5000, 0.5000)  8 Sb 3.15
Sb (0.2500, 0.2500, 0.2500)  4 Hg 3.15, 4 Si 3.15
Sb (0.2500, 0.2500, 0.7500)  4 Hg 3.15, 4 Si 3.15
Sb (0.2500, 0.7500, 0.2500)  4 Hg 3.15, 4 Si 3.15
Sb (0.2500, 0.7500, 0.7500)  4 Hg 3.15, 4 Si 3.15
Sb (0.7500, 0.2500, 0.2500)  4 Hg 3.15, 4 Si 3.15
Sb (0.7500, 0.2500, 0.7500)  4 Hg 3.15, 4 Si 3.15
Sb (0.7500, 0.7500, 0.2500)  4 Hg 3.15, 4 Si 3.15
Sb (0.7500, 0.7500, 0.7500)  4 Hg 3.15, 4 Si 3.15

Calculated values
- raw formation energy (eV per atom) = 0.43
- DFT total energy (eV per atom) = -3.06
- M_tot (μB/atom) = 0.000